This record from Alexandria via LeMat-Bulk describes an optimized crystal structure of NaAcErSn. The functional is PBE-GGA.

```
4
Lattice="5.587 0.000 0.000 2.793 4.838 0.000 2.793 1.613 4.561" Properties=species:S:1:pos:R:3 pbc="T T T"
Er 8.380 4.838 3.421
Ac 2.793 1.613 1.140
Na 0.000 0.000 0.000
Sn 5.587 3.225 2.281
```

Space-group type: F-43m (216)
ΔE_f in eV per atom: -0.21
Energy in eV per atom: -3.710